# 1
Here is crystalline TmHfSb2 at its relaxed geometry from the Alexandria database. Energies are from PBE-GGA.

Cell: 7.6396 7.6396 7.6396 Å, 31.29 31.29 31.29°
Fractional coordinates of all 4 atoms:
Tm  0.0000  0.0000  0.0000
Hf  0.1712  0.1712  0.1712
Sb  0.4232  0.4232  0.4232
Sb  0.5832  0.5832  0.5832

Summary:
Excess energy over the best structure of this formula in the dataset in eV per formula unit: 0.17
Calculated total energy in eV/cell: -25.34
Calculated volume in Å³ per cell: 106.7

---

# 2
Here is crystalline Tm4HfSb5 at its relaxed geometry from the Alexandria database. Energies are from PBE-GGA.

Cell: 15.4396 15.4396 15.4396 Å, 164.05 164.05 22.63°
Fractional coordinates of all 10 atoms:
Tm  0.0999  0.0999  0.0000
Tm  0.3015  0.3015  0.0000
Tm  0.6985  0.6985  0.0000
Tm  0.9001  0.9001  0.0000
Hf  0.5000  0.5000  0.0000
Sb  0.0000  0.0000  0.0000
Sb  0.2001  0.2001  0.0000
Sb  0.4033  0.4033  0.0000
Sb  0.5967  0.5967  0.0000
Sb  0.7999  0.7999  0.0000

Summary:
Calculated total energy in eV/cell: -57.59
Calculated volume in Å³ per cell: 278.0

---

# 3
Here is crystalline Tm3Hf2Sb3 at its relaxed geometry from the Alexandria database. Energies are from PBE-GGA.

Cell: 8.6992 8.6992 5.9274 Å, 90.00 90.00 120.00°
Fractional coordinates of all 16 atoms:
Tm  0.0000  0.2500  0.2500
Tm  0.0000  0.7500  0.7500
Tm  0.2500  0.0000  0.2500
Tm  0.2500  0.2500  0.7500
Tm  0.7500  0.0000  0.7500
Tm  0.7500  0.7500  0.2500
Hf  0.3333  0.6667  0.0000
Hf  0.3333  0.6667  0.5000
Hf  0.6667  0.3333  0.0000
Hf  0.6667  0.3333  0.5000
Sb  0.0000  0.3931  0.7500
Sb  0.0000  0.6069  0.2500
Sb  0.3931  0.0000  0.7500
Sb  0.3931  0.3931  0.2500
Sb  0.6069  0.0000  0.2500
Sb  0.6069  0.6069  0.7500

Summary:
Calculated total energy in eV/cell: -103.52
Calculated volume in Å³ per cell: 388.5

---

# 4
Here is crystalline HfUSb at its relaxed geometry from the Alexandria database. Energies are from PBE-GGA.

Cell: 11.5095 3.7131 10.3928 Å, 90.00 90.00 90.00°
Fractional coordinates of all 18 atoms:
Hf  0.0766  0.0000  0.1251
Hf  0.2500  0.0000  0.7017
Hf  0.4234  0.0000  0.1251
Hf  0.5766  0.0000  0.8749
Hf  0.7500  0.0000  0.2983
Hf  0.9234  0.0000  0.8749
U  0.0971  0.0000  0.4517
U  0.2500  0.5000  0.9434
U  0.4029  0.0000  0.4517
U  0.5971  0.0000  0.5483
U  0.7500  0.5000  0.0566
U  0.9029  0.0000  0.5483
Sb  0.0608  0.5000  0.7091
Sb  0.2500  0.5000  0.2535
Sb  0.4392  0.5000  0.7091
Sb  0.5608  0.5000  0.2909
Sb  0.7500  0.5000  0.7465
Sb  0.9392  0.5000  0.2909

Summary:
Calculated total energy in eV/cell: -150.47
Calculated volume in Å³ per cell: 444.1

---

# 5
Here is crystalline HfUSb at its relaxed geometry from the Alexandria database. Energies are from PBE-GGA.

Cell: 6.0039 6.0039 6.0039 Å, 144.35 144.35 51.30°
Fractional coordinates of all 3 atoms:
Hf  0.0000  0.0000  0.0000
U  0.6863  0.6863  0.0000
Sb  0.3681  0.3681  0.0000

Summary:
Calculated total energy in eV/cell: -25.33
Calculated volume in Å³ per cell: 73.1

---

# 6
Here is crystalline Hf5VSb2 at its relaxed geometry from the Alexandria database. Energies are from PBE-GGA.

Cell: 7.0351 7.0351 12.2292 Å, 90.00 90.00 139.51°
Fractional coordinates of all 16 atoms:
Hf  0.1085  0.8915  0.6268
Hf  0.1085  0.8915  0.8732
Hf  0.3060  0.6940  0.2500
Hf  0.3146  0.6854  0.5146
Hf  0.3146  0.6854  0.9854
Hf  0.6854  0.3146  0.0146
Hf  0.6854  0.3146  0.4854
Hf  0.6940  0.3060  0.7500
Hf  0.8915  0.1085  0.1268
Hf  0.8915  0.1085  0.3732
V  0.3143  0.6857  0.7500
V  0.6857  0.3143  0.2500
Sb  0.1105  0.8895  0.1209
Sb  0.1105  0.8895  0.3791
Sb  0.8895  0.1105  0.6209
Sb  0.8895  0.1105  0.8791

Summary:
Calculated total energy in eV/cell: -131.45
Calculated volume in Å³ per cell: 393.0

---

# 7
Here is crystalline HfVSb2 at its relaxed geometry from the Alexandria database. Energies are from PBE-GGA.

Cell: 7.9112 7.9112 7.9112 Å, 132.89 132.89 68.83°
Fractional coordinates of all 8 atoms:
Hf  0.0000  0.0000  0.0000
Hf  0.7500  0.2500  0.5000
V  0.2500  0.7500  0.5000
V  0.5000  0.5000  0.0000
Sb  0.1382  0.6250  0.0132
Sb  0.3750  0.3882  0.5132
Sb  0.6118  0.1250  0.9868
Sb  0.8750  0.8618  0.4868

Summary:
Excess energy over the best structure of this formula in the dataset in eV per formula unit: 1.76
Calculated total energy in eV/cell: -51.35
Calculated volume in Å³ per cell: 260.9

---

# 8
Here is crystalline Hf2VSb at its relaxed geometry from the Alexandria database. Energies are from PBE-GGA.

Cell: 4.8043 4.8043 4.8043 Å, 60.00 60.00 60.00°
Fractional coordinates of all 4 atoms:
Hf  0.2500  0.2500  0.2500
Hf  0.7500  0.7500  0.7500
V  0.0000  0.0000  0.0000
Sb  0.5000  0.5000  0.5000

Summary:
Excess energy over the best structure of this formula in the dataset in eV per formula unit: 0.69
Calculated total energy in eV/cell: -33.07
Calculated volume in Å³ per cell: 78.4

---

# 9
Here is crystalline Hf5V3Sb12 at its relaxed geometry from the Alexandria database. Energies are from PBE-GGA.

Cell: 14.4197 14.4197 14.4197 Å, 109.47 109.47 109.47°
Fractional coordinates of all 80 atoms:
Hf  0.0000  0.0000  0.0000
Hf  0.0000  0.0000  0.5000
Hf  0.0000  0.5000  0.0000
Hf  0.0000  0.5000  0.5000
Hf  0.1250  0.7500  0.8750
Hf  0.1250  0.8750  0.2500
Hf  0.2500  0.1250  0.8750
Hf  0.2500  0.6250  0.3750
Hf  0.3750  0.2500  0.6250
Hf  0.3750  0.6250  0.7500
Hf  0.5000  0.0000  0.0000
Hf  0.5000  0.0000  0.5000
Hf  0.5000  0.5000  0.0000
Hf  0.5000  0.5000  0.5000
Hf  0.6250  0.3750  0.2500
Hf  0.6250  0.7500  0.3750
Hf  0.7500  0.3750  0.6250
Hf  0.7500  0.8750  0.1250
Hf  0.8750  0.1250  0.7500
Hf  0.8750  0.2500  0.1250
V  0.1250  0.2500  0.3750
V  0.1250  0.3750  0.7500
V  0.2500  0.3750  0.1250
V  0.2500  0.8750  0.6250
V  0.3750  0.1250  0.2500
V  0.3750  0.7500  0.1250
V  0.6250  0.2500  0.8750
V  0.6250  0.8750  0.7500
V  0.7500  0.1250  0.3750
V  0.7500  0.6250  0.8750
V  0.8750  0.6250  0.2500
V  0.8750  0.7500  0.6250
Sb  0.0640  0.2391  0.1294
Sb  0.0640  0.3249  0.9346
Sb  0.0654  0.6294  0.3903
Sb  0.0654  0.9360  0.6751
Sb  0.1097  0.7391  0.6751
Sb  0.1097  0.8706  0.4346
Sb  0.1294  0.0640  0.2391
Sb  0.1294  0.5654  0.8903
Sb  0.1751  0.2391  0.6097
Sb  0.1751  0.4360  0.5654
Sb  0.2391  0.1294  0.0640
Sb  0.2391  0.6097  0.1751
Sb  0.2609  0.3249  0.8903
Sb  0.2609  0.4360  0.3706
Sb  0.3249  0.8903  0.2609
Sb  0.3249  0.9346  0.0640
Sb  0.3706  0.2609  0.4360
Sb  0.3706  0.6097  0.9346
Sb  0.3903  0.0654  0.6294
Sb  0.3903  0.8249  0.7609
Sb  0.4346  0.1097  0.8706
Sb  0.4346  0.8249  0.5640
Sb  0.4360  0.3706  0.2609
Sb  0.4360  0.5654  0.1751
Sb  0.5640  0.4346  0.8249
Sb  0.5640  0.6294  0.7391
Sb  0.5654  0.1751  0.4360
Sb  0.5654  0.8903  0.1294
Sb  0.6097  0.1751  0.2391
Sb  0.6097  0.9346  0.3706
Sb  0.6294  0.3903  0.0654
Sb  0.6294  0.7391  0.5640
Sb  0.6751  0.0654  0.9360
Sb  0.6751  0.1097  0.7391
Sb  0.7391  0.5640  0.6294
Sb  0.7391  0.6751  0.1097
Sb  0.7609  0.3903  0.8249
Sb  0.7609  0.8706  0.9360
Sb  0.8249  0.5640  0.4346
Sb  0.8249  0.7609  0.3903
Sb  0.8706  0.4346  0.1097
Sb  0.8706  0.9360  0.7609
Sb  0.8903  0.1294  0.5654
Sb  0.8903  0.2609  0.3249
Sb  0.9346  0.0640  0.3249
Sb  0.9346  0.3706  0.6097
Sb  0.9360  0.6751  0.0654
Sb  0.9360  0.7609  0.8706

Summary:
Calculated total energy in eV/cell: -487.60
Calculated volume in Å³ per cell: 2308.1

---

# 10
Here is crystalline Hf2VSb2 at its relaxed geometry from the Alexandria database. Energies are from PBE-GGA.

Cell: 7.2364 7.2364 4.0081 Å, 90.00 90.00 90.00°
Fractional coordinates of all 10 atoms:
Hf  0.1546  0.3454  0.0000
Hf  0.3454  0.8454  0.0000
Hf  0.6546  0.1546  0.0000
Hf  0.8454  0.6546  0.0000
V  0.0000  0.0000  0.5000
V  0.5000  0.5000  0.5000
Sb  0.1506  0.6506  0.5000
Sb  0.3494  0.1506  0.5000
Sb  0.6506  0.8494  0.5000
Sb  0.8494  0.3494  0.5000

Summary:
Calculated total energy in eV/cell: -76.21
Calculated volume in Å³ per cell: 209.9

---

# 11
Here is crystalline HfVSb3 at its relaxed geometry from the Alexandria database. Energies are from PBE-GGA.

Cell: 5.0873 5.0873 5.0873 Å, 90.00 90.00 90.00°
Fractional coordinates of all 5 atoms:
Hf  0.0000  0.0000  0.0000
V  0.5000  0.5000  0.5000
Sb  0.0000  0.5000  0.5000
Sb  0.5000  0.0000  0.5000
Sb  0.5000  0.5000  0.0000

Summary:
Excess energy over the best structure of this formula in the dataset in eV per formula unit: 0.00
Calculated total energy in eV/cell: -28.24
Calculated volume in Å³ per cell: 131.7

---

# 12
Here is crystalline Hf12VSb6 at its relaxed geometry from the Alexandria database. Energies are from PBE-GGA.

Cell: 7.9364 7.9364 7.9364 Å, 102.19 102.19 102.19°
Fractional coordinates of all 19 atoms:
Hf  0.0091  0.9583  0.6784
Hf  0.0417  0.3216  0.9909
Hf  0.2124  0.5090  0.3943
Hf  0.3216  0.9909  0.0417
Hf  0.3943  0.2124  0.5090
Hf  0.4910  0.6057  0.7876
Hf  0.5090  0.3943  0.2124
Hf  0.6057  0.7876  0.4910
Hf  0.6784  0.0091  0.9583
Hf  0.7876  0.4910  0.6057
Hf  0.9583  0.6784  0.0091
Hf  0.9909  0.0417  0.3216
V  0.0000  0.0000  0.0000
Sb  0.1104  0.3434  0.6560
Sb  0.3434  0.6560  0.1104
Sb  0.3440  0.8896  0.6566
Sb  0.6560  0.1104  0.3434
Sb  0.6566  0.3440  0.8896
Sb  0.8896  0.6566  0.3440

Summary:
Calculated total energy in eV/cell: -153.40
Calculated volume in Å³ per cell: 460.2